Record 1
Entry from Alexandria via LeMat-Bulk: a relaxed structure of Ba3Ce2PaN6 (GGA-PBE).

Output
SG	C2/m (12)
ΔE_f (raw)	-1.144	eV/atom

a = 6.380 Å, b = 6.380 Å, c = 6.749 Å
α = 99.04°, β = 99.04°, γ = 120.01°
Element x y z (fractional)
N 0.939 0.620 0.820
N 0.620 0.939 0.820
N 0.259 0.259 0.817
N 0.380 0.061 0.180
Ce 0.667 0.333 0.000
Ba 0.169 0.831 0.500
Ce 0.333 0.667 0.000
Ba 0.831 0.169 0.500
Ba 0.500 0.500 0.500
N 0.741 0.741 0.183
Pa 0.000 0.000 0.000
N 0.061 0.380 0.180


Record 2
Entry from Alexandria via LeMat-Bulk: a relaxed structure of MgScTa2 (GGA-PBE).

Output
SG	I-4m2 (119)
DFT formation energy	1.1	eV per formula unit

a = 5.167 Å, b = 5.167 Å, c = 5.167 Å
α = 130.46°, β = 130.46°, γ = 72.68°
Element x y z (fractional)
Ta 0.250 0.750 0.500
Mg 0.500 0.500 0.000
Ta 0.000 0.000 0.000
Sc 0.750 0.250 0.500


Record 3
Entry from Alexandria via LeMat-Bulk: a relaxed structure of ScCoSe2Br (GGA-PBE).

Output
SG	P4/mmm (123)
excess energy over the best structure of this formula in the dataset	0.211	eV per atom
ΔE_f (raw)	-0.038	eV/atom

a = 5.201 Å, b = 5.201 Å, c = 5.119 Å
α = 90.00°, β = 90.00°, γ = 90.00°
Element x y z (fractional)
Co 0.500 0.500 0.500
Se 0.000 0.500 0.000
Br 0.000 0.000 0.500
Se 0.500 0.000 0.000
Sc 0.000 0.000 0.000


Record 4
Entry from Alexandria via LeMat-Bulk: a relaxed structure of SbIrOsI2 (GGA-PBE).

Output
SG	P4/mmm (123)
excess energy over the best structure of this formula in the dataset	0.000	eV per atom
ΔE_f (raw)	1.592	eV/atom

a = 5.474 Å, b = 5.474 Å, c = 5.043 Å
α = 90.00°, β = 90.00°, γ = 90.00°
Element x y z (fractional)
Os 0.500 0.500 0.500
I 0.000 0.500 0.000
Sb 0.000 0.000 0.500
I 0.500 0.000 0.000
Ir 0.000 0.000 0.000


Record 5
Entry from Alexandria via LeMat-Bulk: a relaxed structure of TaReAg (GGA-PBE).

Output
SG	Imm2 (44)
DFT formation energy	1.0	eV per formula unit
excess energy over the best structure of this formula in the dataset	0.049	eV per atom

a = 5.015 Å, b = 5.015 Å, c = 5.015 Å
α = 149.16°, β = 128.56°, γ = 61.19°
Element x y z (fractional)
Re 0.667 0.667 0.000
Ta 0.331 0.331 0.000
Ag 0.002 0.002 0.000


Record 6
Entry from Alexandria via LeMat-Bulk: a relaxed structure of ZnCdPb2 (GGA-PBE).

Output
SG	Cm (8)
DFT formation energy	0.5	eV per formula unit
excess energy over the best structure of this formula in the dataset	0.058	eV per atom

a = 4.673 Å, b = 4.673 Å, c = 6.082 Å
α = 71.69°, β = 71.69°, γ = 65.98°
Element x y z (fractional)
Pb 0.256 0.256 0.202
Pb 0.058 0.058 0.798
Cd 0.526 0.526 0.511
Zn 0.660 0.660 0.988


Record 7
Entry from Alexandria via LeMat-Bulk: a relaxed structure of BeRe2S2 (GGA-PBE).

Output
SG	I4/mmm (139)
excess energy over the best structure of this formula in the dataset	0.006	eV per atom
ΔE_f (raw)	0.612	eV/atom

a = 3.728 Å, b = 3.728 Å, c = 6.100 Å
α = 72.21°, β = 72.21°, γ = 90.00°
Element x y z (fractional)
Be 0.000 0.000 0.000
S 0.750 0.250 0.500
Re 0.379 0.379 0.242
Re 0.621 0.621 0.758
S 0.250 0.750 0.500


Number 1: E -7.567 eV per atom. Number 2: E -7.640 eV per atom. Number 3: E -4.454 eV per atom. Number 4: E -3.871 eV per atom. Number 5: E -8.716 eV per atom. Number 6: E -2.265 eV per atom. Number 7: E -6.763 eV per atom.